Below is a relaxed IrRu3 crystal, with properties calculated at the GGA-PBE level.

DFT total energy: -9.22 eV/atom
Calculated formation energy: -0.204 eV per formula unit
Spin magnetization: 0.00 μB per cell

a b c (Å): 5.477 5.477 4.320
angles (deg): 90.00 90.00 120.00
Fractional positions:
Ir  0.333  0.667  0.250
Ir  0.667  0.333  0.750
Ru  0.166  0.332  0.750
Ru  0.166  0.834  0.750
Ru  0.332  0.166  0.250
Ru  0.668  0.834  0.750
Ru  0.834  0.166  0.250
Ru  0.834  0.668  0.250